VASP calculation (PBE) on crystalline Mg4In8Pd3 at its relaxed geometry.

a b c (Å): 4.478 4.478 16.693
angles (deg): 90.00 90.00 90.00
Element x y z (fractional)
1 Mg 0.000 0.500 0.096
2 Mg 0.000 0.500 0.600
3 Mg 0.500 0.000 0.400
4 Mg 0.500 0.000 0.904
5 In 0.000 0.000 0.250
6 In 0.000 0.000 0.750
7 In 0.000 0.500 0.398
8 In 0.000 0.500 0.905
9 In 0.500 0.000 0.095
10 In 0.500 0.000 0.602
11 In 0.500 0.500 0.244
12 In 0.500 0.500 0.756
13 Pd 0.000 0.000 0.000
14 Pd 0.000 0.000 0.500
15 Pd 0.500 0.500 0.500

Output
SG: No. 115
DOS at the Fermi energy in states/eV per cell: 6.4
Energy in eV per formula unit: -47.9

VASP calculation (PBE) on crystalline Mg8In3Pd2 at its relaxed geometry.

a b c (Å): 8.363 8.363 4.732
angles (deg): 90.00 90.00 117.87
Element x y z (fractional)
1 Mg 0.123 0.877 0.000
2 Mg 0.142 0.425 0.500
3 Mg 0.321 0.679 0.000
4 Mg 0.425 0.142 0.500
5 Mg 0.575 0.858 0.500
6 Mg 0.679 0.321 0.000
7 Mg 0.858 0.575 0.500
8 Mg 0.877 0.123 0.000
9 In 0.000 0.000 0.500
10 In 0.311 0.311 0.000
11 In 0.689 0.689 0.000
12 Pd 0.219 0.781 0.500
13 Pd 0.781 0.219 0.500

Output
SG: No. 65
DOS at the Fermi energy in states/eV per cell: 4.9
Energy in eV per formula unit: -34.6

What did the second record say?
VASP calculation (PBE) on crystalline Mg8In3Pd2 at its relaxed geometry.

a b c (Å): 8.363 8.363 4.732
angles (deg): 90.00 90.00 117.87
Element x y z (fractional)
1 Mg 0.123 0.877 0.000
2 Mg 0.142 0.425 0.500
3 Mg 0.321 0.679 0.000
4 Mg 0.425 0.142 0.500
5 Mg 0.575 0.858 0.500
6 Mg 0.679 0.321 0.000
7 Mg 0.858 0.575 0.500
8 Mg 0.877 0.123 0.000
9 In 0.000 0.000 0.500
10 In 0.311 0.311 0.000
11 In 0.689 0.689 0.000
12 Pd 0.219 0.781 0.500
13 Pd 0.781 0.219 0.500

Output
SG: No. 65
DOS at the Fermi energy in states/eV per cell: 4.9
Energy in eV per formula unit: -34.6

> Which formula does entry 2 have?

Mg8In3Pd2

> Look up the energy of the first one.

-47.9 eV per formula unit

> The highest DOS at the Fermi energy belongs to which entry?

Mg4In8Pd3